DFT (GGA-PBE) results for a geometry-optimized PrTl2InI6 structure.

Lattice parameters (Å, degrees): 8.2912 9.1906 12.0919 90.00 85.62 90.00
Positions (direct):
1 I 0.1593 0.2094 0.0809
2 Tl 0.0369 0.9031 0.2742
3 Tl 0.5369 0.5969 0.7742
4 I 0.6861 0.3286 0.9466
5 I 0.8473 0.5595 0.2426
6 In 0.0000 0.5000 0.5000
7 In 0.5000 0.0000 0.0000
8 Tl 0.4631 0.4031 0.2258
9 I 0.8139 0.8286 0.5534
10 Pr 0.0000 0.5000 0.0000
11 I 0.8407 0.7906 0.9191
12 I 0.1861 0.1714 0.4466
13 I 0.3473 0.9405 0.7426
14 I 0.6593 0.2906 0.5809
15 I 0.1527 0.4405 0.7574
16 I 0.3407 0.7094 0.4191
17 Tl 0.9631 0.0969 0.7258
18 I 0.3139 0.6714 0.0534
19 I 0.6527 0.0595 0.2574
20 Pr 0.5000 0.0000 0.5000

Properties
The value obtained for the formation energy (no corrections) is -0.92 eV/atom. The total magnetization comes out at 0.000 μB/f.u.